A geometry-optimized Co3TcI structure, computed with PBE-GGA.

Unit cell a=4.5556 b=4.5556 c=4.5556 alpha=90.00 beta=90.00 gamma=90.00
Last column: nearest neighbours and their distance in Å.
Fractional coordinates of all 5 atoms:
Co 0.0000 0.0000 0.5000  2 I 2.28
Co 0.0000 0.5000 0.0000  2 I 2.28
Co 0.5000 0.0000 0.0000  2 I 2.28
Tc 0.5000 0.5000 0.5000  12 Co 3.22
I 0.0000 0.0000 0.0000  6 Co 2.28

Energy above the most stable polymorph in this dataset (meV per atom): 295
Formation energy without anion corrections (eV/atom): 1.777
Space-group type: Pm-3m (221)
Total magnetization (μB per cell): 6.95


A geometry-optimized Ta2CoCu structure, computed with PBE-GGA.

Unit cell a=6.9009 b=6.9009 c=5.3069 alpha=90.00 beta=90.00 gamma=90.00
Last column: nearest neighbours and their distance in Å.
Fractional coordinates of all 16 atoms:
Ta 0.2205 0.2500 0.1250  2 Co 2.39, 2 Cu 2.67
Ta 0.2500 0.7205 0.3750  2 Co 2.39, 2 Cu 2.67
Ta 0.2500 0.7795 0.8750  2 Co 2.39, 2 Cu 2.67
Ta 0.2795 0.2500 0.6250  2 Co 2.39, 2 Cu 2.67
Ta 0.7205 0.7500 0.6250  2 Co 2.39, 2 Cu 2.67
Ta 0.7500 0.2205 0.8750  2 Co 2.39, 2 Cu 2.67
Ta 0.7500 0.2795 0.3750  2 Co 2.39, 2 Cu 2.67
Ta 0.7795 0.7500 0.1250  2 Co 2.39, 2 Cu 2.67
Co 0.0000 0.0000 0.0000  4 Ta 2.39, 2 Cu 2.65
Co 0.0000 0.5000 0.2500  4 Ta 2.39, 2 Cu 2.65
Co 0.5000 0.0000 0.7500  4 Ta 2.39, 2 Cu 2.65
Co 0.5000 0.5000 0.5000  4 Ta 2.39, 2 Cu 2.65
Cu 0.0000 0.0000 0.5000  2 Co 2.65, 4 Ta 2.67
Cu 0.0000 0.5000 0.7500  2 Co 2.65, 4 Ta 2.67
Cu 0.5000 0.0000 0.2500  2 Co 2.65, 4 Ta 2.67
Cu 0.5000 0.5000 0.0000  2 Co 2.65, 4 Ta 2.67

Space-group type: I-42d (122)
Total magnetization (μB per cell): 0.00
Energy of formation (eV/f.u.): 1.68


A geometry-optimized BeBSb structure, computed with PBE-GGA.

Unit cell a=3.0431 b=3.6562 c=8.5370 alpha=94.27 beta=94.63 gamma=90.01
Last column: nearest neighbours and their distance in Å.
Fractional coordinates of all 6 atoms:
Be 0.2323 0.3632 0.4219  4 B 1.84-2.01
Be 0.7677 0.6368 0.5781  4 B 1.84-2.01
B 0.2444 0.8853 0.4756  2 B 1.77, 2 Be 1.84-1.93
B 0.7556 0.1147 0.5244  2 B 1.77, 2 Be 1.84-1.93
Sb 0.1821 0.7838 0.1884  1 B 2.44, 1 Be 2.60
Sb 0.8179 0.2162 0.8116  1 B 2.44, 1 Be 2.60

Energy above the most stable polymorph in this dataset (meV per atom): 0
Formation energy without anion corrections (eV/atom): 0.089
Space-group type: P-1 (2)
Total magnetization (μB per cell): 0.00


A geometry-optimized Rb2InOsO6 structure, computed with PBE-GGA.

Unit cell a=6.3595 b=6.3595 c=5.6830 alpha=90.00 beta=90.00 gamma=120.00
Last column: nearest neighbours and their distance in Å.
Fractional coordinates of all 10 atoms:
Rb 0.3333 0.6667 0.3451  9 O 2.97-3.21
Rb 0.6667 0.3333 0.6549  9 O 2.97-3.21
In 0.0000 0.0000 0.0000  6 O 2.26
Os 0.0000 0.0000 0.5000  6 O 1.91
O 0.1375 0.2750 0.7052  1 Os 1.91
O 0.1375 0.8625 0.7052  1 Os 1.91
O 0.2750 0.1375 0.2948  1 Os 1.91
O 0.7250 0.8625 0.7052  1 Os 1.91
O 0.8625 0.1375 0.2948  1 Os 1.91
O 0.8625 0.7250 0.2948  1 Os 1.91

Formation energy without anion corrections (eV/atom): -1.235
Space-group type: P-3m1 (164)
Total magnetization (μB per cell): 0.00


A geometry-optimized Rb2NdCu2S4 structure, computed with PBE-GGA.

Unit cell a=7.7613 b=7.7613 c=7.9156 alpha=108.69 beta=108.69 gamma=29.93
Last column: nearest neighbours and their distance in Å.
Fractional coordinates of all 9 atoms:
Rb 0.1327 0.1327 0.0579  7 S 3.35-3.68
Rb 0.8673 0.8673 0.9421  7 S 3.35-3.68
Nd 0.0000 0.0000 0.5000  6 S 2.82-2.89
Cu 0.3215 0.3215 0.5149  4 S 2.37-2.38
Cu 0.6785 0.6785 0.4851  4 S 2.37-2.38
S 0.2040 0.2040 0.6555  3 Cu 2.37-2.38
S 0.4749 0.4749 0.7309  1 Cu 2.37
S 0.5251 0.5251 0.2691  1 Cu 2.37
S 0.7960 0.7960 0.3445  3 Cu 2.37-2.38

Formation energy without anion corrections (eV/atom): -1.097
Space-group type: C2/m (12)
Total magnetization (μB per cell): 0.00